No. 1
The following is a GGA-PBE calculation of an optimized crystal structure of La5Tl2Br3, from Alexandria. Values from VASP.

Geometry as Quantum ESPRESSO input:
```
&SYSTEM
  ibrav = 0, nat = 10, ntyp = 3
/
ATOMIC_SPECIES
Br 79.90 Br.upf
La 138.91 La.upf
Tl 204.38 Tl.upf
CELL_PARAMETERS angstrom
3.9944 0.0000 0.8864
1.6500 8.0389 2.0079
-0.0960 -1.3418 9.8762
ATOMIC_POSITIONS crystal
Br 0.8789 0.3531 0.8891
Br 0.5000 0.5000 0.5000
Br 0.1211 0.6469 0.1109
La 0.7007 0.3821 0.2165
La 0.8959 0.7962 0.4120
La 0.0000 0.0000 0.0000
La 0.1041 0.2038 0.5880
La 0.2993 0.6179 0.7835
Tl 0.6696 0.9271 0.7337
Tl 0.3304 0.0729 0.2663
```

Output
Calculated total energy = -43.7 eV/cell
Formation energy without anion corrections = -927 meV per atom



No. 2
The following is a GGA-PBE calculation of an optimized crystal structure of La3Tl2Br2, from Alexandria. Values from VASP.

Geometry as Quantum ESPRESSO input:
```
&SYSTEM
  ibrav = 0, nat = 7, ntyp = 3
/
ATOMIC_SPECIES
Br 79.90 Br.upf
Tl 204.38 Tl.upf
La 138.91 La.upf
CELL_PARAMETERS angstrom
4.6672 -0.0051 0.0001
-2.3286 5.5038 -0.9639
-0.0042 -1.8634 9.4755
ATOMIC_POSITIONS crystal
Br 0.1093 0.2181 0.3539
Br 0.8907 0.7819 0.6461
Tl 0.6661 0.3324 0.9139
Tl 0.3339 0.6676 0.0861
La 0.0000 0.0000 0.0000
La 0.7951 0.5897 0.3005
La 0.2049 0.4103 0.6995
```

Output
Calculated total energy = -29.0 eV/cell
Formation energy without anion corrections = -871 meV per atom